1.
{
  "formula": "CoSnSe3",
  "functional": "PBE",
  "state": "relaxed",
  "cell": [[3.724, 0.000, 0.000], [0.000, 6.680, -0.003], [0.000, 0.089, 9.151]],
  "species": ["Co", "Co", "Sn", "Sn", "Se", "Se", "Se", "Se", "Se", "Se"],
  "frac_coords": [[0.250, 0.927, 0.168], [0.750, 0.073, 0.832], [0.250, 0.577, 0.805], [0.750, 0.423, 0.195], [0.250, 0.191, 0.984], [0.750, 0.809, 0.016], [0.250, 0.636, 0.332], [0.750, 0.364, 0.668], [0.250, 0.947, 0.689], [0.750, 0.053, 0.311]],
  "density_g_cm3": 6.0,
  "final_energy_ev_per_atom": -4.584,
  "total_magnetization_mub_per_cell": 0.00
}

2.
{
  "formula": "Co2SnSe",
  "functional": "PBE",
  "state": "relaxed",
  "cell": [[4.360, 0.000, 0.000], [0.000, 4.360, 0.000], [2.180, 2.180, 7.459]],
  "species": ["Co", "Co", "Co", "Co", "Sn", "Sn", "Se", "Se"],
  "frac_coords": [[0.544, 0.125, 0.250], [0.206, 0.625, 0.250], [0.375, 0.456, 0.750], [0.875, 0.794, 0.750], [0.000, 0.000, 0.000], [0.750, 0.250, 0.500], [0.500, 0.500, 0.000], [0.250, 0.750, 0.500]],
  "density_g_cm3": 7.4,
  "final_energy_ev_per_atom": -5.250,
  "total_magnetization_mub_per_cell": 2.27
}

3.
{
  "formula": "CoSnSe3",
  "functional": "PBE",
  "state": "relaxed",
  "cell": [[4.774, 0.000, 0.000], [0.000, 4.774, 0.000], [0.000, 0.000, 4.774]],
  "species": ["Co", "Sn", "Se", "Se", "Se"],
  "frac_coords": [[0.000, 0.000, 0.000], [0.500, 0.500, 0.500], [0.000, 0.500, 0.000], [0.000, 0.000, 0.500], [0.500, 0.000, 0.000]],
  "density_g_cm3": 6.3,
  "final_energy_ev_per_atom": -4.197,
  "total_magnetization_mub_per_cell": 1.35
}

4.
{
  "formula": "Co2SnSe",
  "functional": "PBE",
  "state": "relaxed",
  "cell": [[-0.067, 2.028, 3.935], [-3.058, -1.101, 3.006], [1.179, -2.211, 3.650]],
  "species": ["Co", "Co", "Sn", "Se"],
  "frac_coords": [[0.250, 0.250, 0.250], [0.750, 0.750, 0.750], [0.500, 0.500, 0.500], [0.000, 0.000, 0.000]],
  "density_g_cm3": 8.5,
  "final_energy_ev_per_atom": -5.145,
  "total_magnetization_mub_per_cell": 1.98
}

5.
{
  "formula": "Co2SnSe2",
  "functional": "PBE",
  "state": "relaxed",
  "cell": [[3.548, 0.000, 0.000], [0.000, 3.548, 0.000], [1.774, 1.774, 7.943]],
  "species": ["Co", "Co", "Sn", "Se", "Se"],
  "frac_coords": [[0.750, 0.250, 0.500], [0.250, 0.750, 0.500], [0.000, 0.000, 0.000], [0.345, 0.345, 0.311], [0.655, 0.655, 0.689]],
  "density_g_cm3": 6.6,
  "final_energy_ev_per_atom": -5.127,
  "total_magnetization_mub_per_cell": 0.00
}

6.
{
  "formula": "Zr2CoSnSe",
  "functional": "PBE",
  "state": "relaxed",
  "cell": [[4.917, 0.000, 0.000], [0.000, 4.632, 0.000], [0.000, 0.000, 4.917]],
  "species": ["Co", "Se", "Sn", "Zr", "Zr"],
  "frac_coords": [[0.000, 0.000, 0.000], [0.500, 0.500, 0.500], [0.000, 0.500, 0.000], [0.000, 0.000, 0.500], [0.500, 0.000, 0.000]],
  "density_g_cm3": 6.5,
  "final_energy_ev_per_atom": -6.421,
  "total_magnetization_mub_per_cell": 0.00
}

no.,ΔE_f (raw) (eV/f.u.)
1,-1.36
2,0.70
3,0.58
4,1.12
5,-0.45
6,-0.41